Entry 1:
The following is a DFT calculation (PBE) of a geometry-optimized CaLa2Cu2 structure.

energy above the most stable polymorph in this dataset = 0.56 eV per formula unit
calculated formation energy = 0.00 eV/atom

a b c (Å): 8.6671 8.6671 3.4374
angles (deg): 90.00 90.00 90.00
Last column: nearest neighbours and their distance in Å.
Sites, in units of the cell vectors:
1 Ca 0.0000 0.0000 0.0000  4 La 3.39, 2 Ca 3.44, 8 Cu 3.66
2 Ca 0.5000 0.5000 0.0000  4 La 3.39, 2 Ca 3.44, 8 Cu 3.66
3 Cu 0.1654 0.6654 0.5000  6 La 3.02-3.11
4 Cu 0.6654 0.8346 0.5000  6 La 3.02-3.11
5 Cu 0.8346 0.3346 0.5000  6 La 3.02-3.11
6 Cu 0.3346 0.1654 0.5000  6 La 3.02-3.11
7 La 0.3679 0.8679 0.0000  6 Cu 3.02-3.11, 1 La 3.24
8 La 0.8679 0.6321 0.0000  6 Cu 3.02-3.11, 1 La 3.24
9 La 0.6321 0.1321 0.0000  6 Cu 3.02-3.11, 1 La 3.24
10 La 0.1321 0.3679 0.0000  6 Cu 3.02-3.11, 1 La 3.24

Entry 2:
The following is a DFT calculation (PBE) of a geometry-optimized CaLaCu2 structure.

calculated formation energy = 0.13 eV/atom

a b c (Å): 4.9154 4.9154 4.9154
angles (deg): 60.00 60.00 60.00
Last column: nearest neighbours and their distance in Å.
Sites, in units of the cell vectors:
1 Ca 0.5000 0.5000 0.5000  4 La 3.01, 4 Cu 3.01
2 Cu 0.0000 0.0000 0.0000  4 Cu 3.01, 4 La 3.01
3 Cu 0.2500 0.2500 0.2500  4 Ca 3.01, 4 Cu 3.01
4 La 0.7500 0.7500 0.7500  4 Ca 3.01, 4 Cu 3.01

Entry 3:
The following is a DFT calculation (PBE) of a geometry-optimized CaLaCu2 structure.

calculated formation energy = 0.03 eV/atom

a b c (Å): 4.2005 4.2005 7.4550
angles (deg): 73.68 73.68 59.97
Last column: nearest neighbours and their distance in Å.
Sites, in units of the cell vectors:
1 Ca 0.2500 0.2500 0.2500  6 Cu 3.00
2 Cu 0.9999 0.9999 0.9999  3 La 3.00, 3 Ca 3.00
3 Cu 0.5001 0.5001 0.5001  3 La 3.00, 3 Ca 3.00
4 La 0.7500 0.7500 0.7500  6 Cu 3.00

calculated formation energy of number 3 (CaLaCu2)?
0.03 eV/atom